Version w
{"formula": "ZrCrAg", "functional": "PBE", "state": "optimized geometry", "vol_a3_per_atom": 22.2, "crystal_system": "cubic", "mass_density_kg_m3": 6255, "lattice_angstrom": [[4.551, 0.000, 0.000], [2.276, 3.941, 0.000], [2.276, 1.314, 3.716]], "species": ["Ag", "Cr", "Zr"], "frac_coords": [[0.000, 0.000, 0.000], [0.500, 0.500, 0.500], [0.750, 0.750, 0.750]]}

Version x
{"formula": "ZrCrAg", "functional": "PBE", "state": "optimized geometry", "vol_a3_per_atom": 21.0, "crystal_system": "cubic", "mass_density_kg_m3": 6620, "lattice_angstrom": [[-0.520, 4.009, -1.897], [-4.002, 1.981, 0.028], [-0.690, 3.603, 2.547]], "species": ["Ag", "Cr", "Zr"], "frac_coords": [[0.500, 0.500, 0.500], [0.750, 0.750, 0.750], [0.000, 0.000, 0.000]]}

Least stable = version w

Version w
{"formula": "ZrCrAg", "functional": "PBE", "state": "optimized geometry", "vol_a3_per_atom": 18.5, "crystal_system": "tetragonal", "mass_density_kg_m3": 7511, "lattice_angstrom": [[-1.728, -5.758, -0.105], [0.289, -5.544, 2.309], [-2.408, -0.178, 2.027]], "species": ["Ag", "Cr", "Zr"], "frac_coords": [[0.987, 0.987, 0.013], [0.334, 0.334, 0.666], [0.679, 0.679, 0.321]]}

Version x
{"formula": "ZrCrAg", "functional": "PBE", "state": "optimized geometry", "vol_a3_per_atom": 19.0, "crystal_system": "trigonal", "mass_density_kg_m3": 7303, "lattice_angstrom": [[-1.687, -3.830, -2.170], [4.638, 0.843, 0.027], [0.266, -1.544, 2.519]], "species": ["Ag", "Cr", "Zr"], "frac_coords": [[0.000, 0.000, 0.143], [0.333, 0.667, 0.191], [0.667, 0.333, 0.666]]}

Least stable = version x

Version w
{"formula": "ZrCr2Ag", "functional": "PBE", "state": "optimized geometry", "vol_a3_per_atom": 16.4, "crystal_system": "tetragonal", "mass_density_kg_m3": 7687, "lattice_angstrom": [[2.992, 0.000, 0.000], [0.000, 2.992, 0.000], [0.000, 0.000, 7.311]], "species": ["Ag", "Cr", "Cr", "Zr"], "frac_coords": [[0.500, 0.500, 0.782], [0.000, 0.000, 0.042], [0.500, 0.500, 0.206], [0.000, 0.000, 0.469]]}

Version x
{"formula": "ZrCr2Ag", "functional": "PBE", "state": "optimized geometry", "vol_a3_per_atom": 15.9, "crystal_system": "orthorhombic", "mass_density_kg_m3": 7912, "lattice_angstrom": [[5.149, 0.004, 0.000], [-2.159, 4.675, 0.000], [0.000, 0.000, 2.641]], "species": ["Ag", "Cr", "Cr", "Zr"], "frac_coords": [[0.000, 0.500, 0.500], [0.000, 0.000, 0.000], [0.500, 0.500, 0.000], [0.500, 0.000, 0.500]]}

Least stable = version x

Version w
{"formula": "ZrCr2Ag", "functional": "PBE", "state": "optimized geometry", "vol_a3_per_atom": 16.0, "crystal_system": "orthorhombic", "mass_density_kg_m3": 7888, "lattice_angstrom": [[5.123, -0.004, -0.012], [2.158, 4.647, 0.012], [-3.281, -2.884, 2.676]], "species": ["Ag", "Cr", "Cr", "Zr"], "frac_coords": [[0.750, 0.250, 0.500], [0.006, 0.006, 0.000], [0.494, 0.494, 0.000], [0.250, 0.750, 0.500]]}

Version x
{"formula": "ZrCr2Ag", "functional": "PBE", "state": "optimized geometry", "vol_a3_per_atom": 17.5, "crystal_system": "tetragonal", "mass_density_kg_m3": 7207, "lattice_angstrom": [[3.833, 0.000, 0.000], [0.000, 3.833, 0.000], [1.917, 1.917, 9.506]], "species": ["Cr", "Cr", "Cr", "Cr", "Zr", "Zr", "Ag", "Ag"], "frac_coords": [[0.568, 0.125, 0.250], [0.182, 0.625, 0.250], [0.375, 0.432, 0.750], [0.875, 0.818, 0.750], [0.500, 0.500, 0.000], [0.250, 0.750, 0.500], [0.000, 0.000, 0.000], [0.750, 0.250, 0.500]]}

Version y
{"formula": "ZrCr2Ag", "functional": "PBE", "state": "optimized geometry", "vol_a3_per_atom": 17.1, "crystal_system": "orthorhombic", "mass_density_kg_m3": 7352, "lattice_angstrom": [[-1.900, -2.064, -1.989], [3.692, -1.040, -2.448], [0.835, -3.353, 2.683]], "species": ["Ag", "Cr", "Cr", "Zr"], "frac_coords": [[0.000, 0.500, 0.500], [0.000, 0.000, 0.000], [0.500, 0.500, 0.000], [0.500, 0.000, 0.500]]}

Least stable = version x

Version w
{"formula": "ZrCr2Ag", "functional": "PBE", "state": "optimized geometry", "vol_a3_per_atom": 17.3, "crystal_system": "cubic", "mass_density_kg_m3": 7269, "lattice_angstrom": [[0.000, 3.259, 3.259], [3.259, 0.000, 3.259], [3.259, 3.259, 0.000]], "species": ["Cr", "Cr", "Zr", "Ag"], "frac_coords": [[0.250, 0.250, 0.250], [0.750, 0.750, 0.750], [0.000, 0.000, 0.000], [0.500, 0.500, 0.500]]}

Version x
{"formula": "ZrCr2Ag", "functional": "PBE", "state": "optimized geometry", "vol_a3_per_atom": 17.0, "crystal_system": "monoclinic", "mass_density_kg_m3": 7387, "lattice_angstrom": [[4.568, 0.000, 0.000], [0.000, 2.942, -0.002], [0.000, 0.341, 5.070]], "species": ["Ag", "Cr", "Cr", "Zr"], "frac_coords": [[0.500, 0.750, 0.750], [0.000, 0.910, 0.063], [0.000, 0.590, 0.437], [0.500, 0.250, 0.250]]}

Least stable = version w

Version w
{"formula": "ZrCr2Ag", "functional": "PBE", "state": "optimized geometry", "vol_a3_per_atom": 16.3, "crystal_system": "trigonal", "mass_density_kg_m3": 7703, "lattice_angstrom": [[-0.976, 7.021, -5.707], [-3.426, 7.323, -4.179], [-0.948, 8.470, -3.191]], "species": ["Ag", "Cr", "Cr", "Zr"], "frac_coords": [[0.742, 0.742, 0.742], [0.988, 0.988, 0.988], [0.265, 0.265, 0.265], [0.506, 0.506, 0.506]]}

Version x
{"formula": "ZrCr2Ag", "functional": "PBE", "state": "optimized geometry", "vol_a3_per_atom": 15.8, "crystal_system": "orthorhombic", "mass_density_kg_m3": 7953, "lattice_angstrom": [[-1.735, -1.855, -0.954], [-0.441, 0.095, 2.676], [-6.124, 6.362, -1.234]], "species": ["Ag", "Cr", "Cr", "Zr"], "frac_coords": [[0.500, 0.500, 0.750], [0.000, 0.000, 0.997], [0.000, 0.000, 0.503], [0.500, 0.500, 0.250]]}

Least stable = version x